No. 1
A plane-wave DFT calculation with PBE-GGA was carried out for a relaxed LiAs2P crystal.

```
LiAs2P
1.0
6.1135 0.0000 0.0000
0.0000 6.1135 0.0000
0.0000 0.0000 9.4691
Li As P
4 8 4
Direct
0.0000 0.0000 0.0000
0.0000 0.5000 0.2500
0.5000 0.0000 0.7500
0.5000 0.5000 0.5000
0.2135 0.2500 0.6250
0.2500 0.7135 0.8750
0.2500 0.7865 0.3750
0.2865 0.2500 0.1250
0.7135 0.7500 0.1250
0.7500 0.2135 0.3750
0.7500 0.2865 0.8750
0.7865 0.7500 0.6250
0.0000 0.0000 0.5000
0.0000 0.5000 0.7500
0.5000 0.0000 0.2500
0.5000 0.5000 0.0000
```

Properties
ΔH_f (0 K) = -13.1 kJ per mole of atoms
SG = I-42d (122)
raw total energy = -68.7 eV per cell
N(E_F) = 0.00 states/eV/f.u.

No. 2
A plane-wave DFT calculation with PBE-GGA was carried out for a relaxed Li3AsP crystal.

```
Li3AsP
1.0
6.8933 0.0000 0.0000
0.0000 5.2492 0.0000
-0.7061 0.0000 9.2091
Li As P
12 4 4
Direct
0.0022 0.0996 0.1473
0.0022 0.4004 0.6473
0.2912 0.0442 0.3840
0.2912 0.4558 0.8840
0.4050 0.6563 0.5874
0.4050 0.8437 0.0874
0.5950 0.1563 0.9126
0.5950 0.3437 0.4126
0.7088 0.5442 0.1160
0.7088 0.9558 0.6160
0.9978 0.5996 0.3527
0.9978 0.9004 0.8527
0.3575 0.1765 0.6598
0.3575 0.3235 0.1598
0.6425 0.6765 0.8402
0.6425 0.8235 0.3402
0.0902 0.6114 0.0876
0.0902 0.8886 0.5876
0.9098 0.1114 0.4124
0.9098 0.3886 0.9124
```

Properties
ΔH_f (0 K) = -49.6 kJ per mole of atoms
relative energy among the computed polymorphs = 0 meV/atom
SG = P2_1/c (14)
raw total energy = -73.5 eV per cell

No. 3
A plane-wave DFT calculation with PBE-GGA was carried out for a relaxed LiAs2P crystal.

```
LiAs2P
1.0
5.8405 0.0000 0.0000
0.0000 8.7974 0.0000
-0.0390 0.0000 2.7989
Li As P
2 4 2
Direct
0.0000 0.0000 0.0000
0.5000 0.5000 0.0000
0.2500 0.2500 0.0000
0.2500 0.7500 0.0000
0.7500 0.2500 0.0000
0.7500 0.7500 0.0000
0.0000 0.5000 0.0000
0.5000 0.0000 0.0000
```

Properties
ΔH_f (0 K) = 3.6 kJ per mole of atoms
SG = C2/m (12)
raw total energy = -32.9 eV per cell
N(E_F) = 1.71 states/eV/f.u.

No. 4
A plane-wave DFT calculation with PBE-GGA was carried out for a relaxed LiAsP2 crystal.

```
LiAsP2
1.0
3.0058 0.0000 0.0000
0.0000 3.0058 0.0000
0.0000 0.0000 7.5056
Li As P
1 1 2
Direct
0.0000 0.0000 0.0000
0.5000 0.5000 0.7546
0.0000 0.0000 0.3938
0.5000 0.5000 0.2633
```

Properties
ΔH_f (0 K) = 6.2 kJ per mole of atoms
SG = P4mm (99)
raw total energy = -17.1 eV per cell
N(E_F) = 1.05 states/eV/f.u.

No. 5
A plane-wave DFT calculation with PBE-GGA was carried out for a relaxed LiAs2P crystal.

```
LiAs2P
1.0
3.6586 0.0000 0.0000
0.0000 4.7702 0.0000
0.0000 0.0000 8.0332
Li As P
2 4 2
Direct
0.0000 0.0000 0.0000
0.5000 0.5000 0.0000
0.0000 0.0000 0.5525
0.0000 0.5000 0.2504
0.5000 0.0000 0.2504
0.5000 0.5000 0.5525
0.0000 0.5000 0.7620
0.5000 0.0000 0.7620
```

Properties
ΔH_f (0 K) = 14.1 kJ per mole of atoms
SG = Cmm2 (35)
raw total energy = -32.1 eV per cell
N(E_F) = 1.33 states/eV/f.u.

No. 6
A plane-wave DFT calculation with PBE-GGA was carried out for a relaxed LiAs2P2 crystal.

```
LiAs2P2
1.0
4.8645 0.0000 0.0000
0.0000 4.8645 0.0000
0.0000 0.0000 8.3500
Li As P
2 4 4
Direct
0.0000 0.0000 0.0000
0.5000 0.5000 0.5000
0.0000 0.0000 0.3304
0.0000 0.0000 0.6696
0.5000 0.5000 0.1696
0.5000 0.5000 0.8304
0.0000 0.5000 0.2500
0.0000 0.5000 0.7500
0.5000 0.0000 0.2500
0.5000 0.0000 0.7500
```

Properties
ΔH_f (0 K) = 7.6 kJ per mole of atoms
SG = I4/mmm (139)
raw total energy = -43.3 eV per cell
N(E_F) = 1.34 states/eV/f.u.

No. 7
A plane-wave DFT calculation with PBE-GGA was carried out for a relaxed Li2AsP crystal.

```
Li2AsP
1.0
2.7522 0.0000 0.0000
0.0000 2.7522 0.0000
0.0000 0.0000 7.8638
Li As P
2 1 1
Direct
0.0000 0.0000 0.2365
0.0000 0.0000 0.7635
0.5000 0.5000 0.5000
0.5000 0.5000 0.0000
```

Properties
ΔH_f (0 K) = -39.6 kJ per mole of atoms
relative energy among the computed polymorphs = 20 meV/atom
SG = P4/mmm (123)
raw total energy = -15.5 eV per cell
N(E_F) = 0.76 states/eV/f.u.

No. 8
A plane-wave DFT calculation with PBE-GGA was carried out for a relaxed Li2AsP crystal.

```
Li2AsP
1.0
2.9679 0.0000 0.0000
-1.4840 2.5703 0.0000
0.0000 0.0000 26.4866
Li As P
6 3 3
Direct
0.0000 0.0000 0.0000
0.0000 0.0000 0.2370
0.3333 0.6667 0.6667
0.3333 0.6667 0.9037
0.6667 0.3333 0.3333
0.6667 0.3333 0.5703
0.0000 0.0000 0.7448
0.3333 0.6667 0.4115
0.6667 0.3333 0.0781
0.0000 0.0000 0.4996
0.3333 0.6667 0.1663
0.6667 0.3333 0.8330
```

Properties
ΔH_f (0 K) = 13.8 kJ per mole of atoms
relative energy among the computed polymorphs = 574 meV/atom
SG = R3m (160)
raw total energy = -39.9 eV per cell
N(E_F) = 3.24 states/eV/f.u.